# 1
## BaTi2Co (GGA-PBE)

Data for a geometry-optimized BaTi2Co structure.

a b c (Å): 6.679 6.679 6.679
angles (deg): 90.00 90.00 90.00
Space group Fm-3m (No. 225)
Symmetry-distinct sites (fractional):
Ba 0.000 0.000 0.000 x4
Ti 0.250 0.250 0.250 x8
Co 0.000 0.000 0.500 x4

Summary:
- E above lowest polymorph: 0.12 eV/f.u.
- Energy of formation from the pure elements: 0.82 eV/atom
- Magnetization: 0.00 μB/atom
- Crystal system: cubic

# 2
## BaTiCo3 (GGA-PBE)

Data for a geometry-optimized BaTiCo3 structure.

a b c (Å): 4.670 4.670 4.670
angles (deg): 90.00 90.00 90.00
Space group Pm-3m (No. 221)
Symmetry-distinct sites (fractional):
Ba 0.000 0.000 0.000 x1
Ti 0.500 0.500 0.500 x1
Co 0.000 0.000 0.500 x3

Summary:
- E above lowest polymorph: 7.40 eV/f.u.
- Energy of formation from the pure elements: 2.19 eV/atom
- Magnetization: 0.00 μB/atom
- Crystal system: cubic

# 3
## BaTi2Co (GGA-PBE)

Data for a geometry-optimized BaTi2Co structure.

a b c (Å): 5.464 5.464 15.035
angles (deg): 90.00 90.00 90.00
Space group I4_1/amd (No. 141, origin choice 2)
Symmetry-distinct sites (fractional):
Ba 0.000 0.250 0.375 x4
Ti 0.000 0.000 0.000 x8
Co 0.000 0.250 0.875 x4

Summary:
- E above lowest polymorph: 0.00 eV/f.u.
- Energy of formation from the pure elements: 0.79 eV/atom
- Magnetization: 0.48 μB/atom
- Crystal system: tetragonal

# 4
## Ba2TiCo (GGA-PBE)

Data for a geometry-optimized Ba2TiCo structure.

a b c (Å): 7.845 7.845 7.845
angles (deg): 90.00 90.00 90.00
Space group Fm-3m (No. 225)
Symmetry-distinct sites (fractional):
Ba 0.250 0.250 0.250 x8
Ti 0.000 0.000 0.000 x4
Co 0.000 0.000 0.500 x4

Summary:
- E above lowest polymorph: 1.92 eV/f.u.
- Energy of formation from the pure elements: 1.00 eV/atom
- Magnetization: 0.83 μB/atom
- Crystal system: cubic

# 5
## BaZrTi2Co (GGA-PBE)

Data for a geometry-optimized BaZrTi2Co structure.

a b c (Å): 4.809 4.809 5.991
angles (deg): 90.00 90.00 90.00
Space group P4/mmm (No. 123)
Symmetry-distinct sites (fractional):
Ba 0.000 0.000 0.000 x1
Zr 0.000 0.000 0.500 x1
Ti 0.000 0.500 0.500 x2
Co 0.500 0.500 0.000 x1

Summary:
- Energy of formation from the pure elements: 1.64 eV/atom
- Magnetization: 0.00 μB/atom
- Crystal system: tetragonal

# 6
## BaTlCo2 (GGA-PBE)

Data for a geometry-optimized BaTlCo2 structure.

a b c (Å): 4.5180 4.5180 17.0311
angles (deg): 90.00 90.00 120.00
Space group R-3m (No. 166, hexagonal axes)
Symmetry-distinct sites (fractional):
Ba 0.0000 0.0000 0.0000 x3
Tl 0.0000 0.0000 0.5000 x3
Co 0.0000 0.0000 0.1767 x6

Summary:
- Energy of formation from the pure elements: 0.23 eV/atom
- Magnetization: 0.61 μB/atom
- Crystal system: trigonal